Below is a geometry-optimized TaAuSe2 structure, with properties calculated at the PBE level.

Values from the calculation:
E above lowest polymorph in eV per atom: 0.6116
ΔE_f (raw) in meV per atom: 192
Calculated volume in Å³/cell: 74
Density of states at the Fermi level in states/eV/f.u.: 3.08
Mass density in g/cm³: 12.1

Cell lengths 4.7052, 4.7052, 4.7052 Å; angles 60.00, 60.00, 60.00 degrees
Element x y z (fractional)
Ta (0.0000, 0.0000, 0.0000)
Au (0.5000, 0.5000, 0.5000)
Se (0.2500, 0.2500, 0.2500)
Se (0.7500, 0.7500, 0.7500)